No. 1
## NbP2CCl (PBE)

Data for NbP2CCl after structural relaxation.

Unit cell a=4.0153 b=4.0153 c=4.2984 alpha=90.00 beta=90.00 gamma=90.00
Closest atoms and distances in Å follow each position.
Fractional coordinates of all 5 atoms:
1 Nb 0.0000 0.0000 0.0000  4 Cl 2.84, 8 P 2.94
2 P 0.0000 0.5000 0.5000  2 C 2.01
3 P 0.5000 0.0000 0.5000  2 C 2.01
4 C 0.5000 0.5000 0.5000  4 P 2.01, 2 Cl 2.15
5 Cl 0.5000 0.5000 0.0000  2 C 2.15

- E above lowest polymorph: 0 kJ/mol of formula units
- Formation energy (no corrections): 0.9906 eV/atom
- Crystal system: tetragonal
- ρ: 4.8 g/cm3

=====

No. 2
## PmErGe2 (PBE)

Data for PmErGe2 after structural relaxation.

Unit cell a=5.9567 b=5.9567 c=5.9567 alpha=45.90 beta=45.90 gamma=45.90
Closest atoms and distances in Å follow each position.
Fractional coordinates of all 4 atoms:
1 Pm 0.0000 0.0000 0.0000  6 Ge 3.05
2 Er 0.5000 0.5000 0.5000  6 Ge 2.95
3 Ge 0.2429 0.2429 0.2429  3 Er 2.95, 3 Pm 3.05
4 Ge 0.7571 0.7571 0.7571  3 Er 2.95, 3 Pm 3.05

- Crystal system: trigonal
- ρ: 7.6 g/cm3
- Calculated formation energy: -687 meV/atom

=====

No. 3
## La2ScP2 (PBE)

Data for La2ScP2 after structural relaxation.

Unit cell a=7.6551 b=7.6551 c=4.1297 alpha=90.00 beta=90.00 gamma=90.00
Closest atoms and distances in Å follow each position.
Fractional coordinates of all 10 atoms:
1 La 0.1505 0.3495 0.0000  6 P 2.90-3.16
2 La 0.3495 0.8495 0.0000  6 P 2.90-3.16
3 La 0.6505 0.1505 0.0000  6 P 2.90-3.16
4 La 0.8495 0.6505 0.0000  6 P 2.90-3.16
5 Sc 0.0000 0.0000 0.5000  4 P 2.87
6 Sc 0.5000 0.5000 0.5000  4 P 2.87
7 P 0.1613 0.6613 0.5000  2 Sc 2.87, 6 La 2.90-3.16
8 P 0.3387 0.1613 0.5000  2 Sc 2.87, 6 La 2.90-3.16
9 P 0.6613 0.8387 0.5000  2 Sc 2.87, 6 La 2.90-3.16
10 P 0.8387 0.3387 0.5000  2 Sc 2.87, 6 La 2.90-3.16

- E above lowest polymorph: 0 kJ/mol of formula units
- Crystal system: tetragonal
- ρ: 5.3 g/cm3
- Calculated formation energy: -1219 meV/atom

=====

No. 4
## Ca2CoCu (PBE)

Data for Ca2CoCu after structural relaxation.

Unit cell a=3.9440 b=3.9440 c=7.9620 alpha=99.56 beta=99.56 gamma=50.05
Closest atoms and distances in Å follow each position.
Fractional coordinates of all 4 atoms:
1 Ca 0.2460 0.2460 0.2369  3 Co 2.85-2.87, 3 Cu 2.97-3.01
2 Ca 0.7540 0.7540 0.7631  3 Co 2.85-2.87, 3 Cu 2.97-3.01
3 Co 0.5000 0.5000 0.0000  6 Ca 2.85-2.87
4 Cu 0.0000 0.0000 0.5000  6 Ca 2.97-3.01

- E above lowest polymorph: 132 kJ/mol of formula units
- Crystal system: monoclinic
- ρ: 3.6 g/cm3
- Calculated formation energy: 421 meV/atom

=====

No. 5
## CuNiRu4 (PBE)

Data for CuNiRu4 after structural relaxation.

Unit cell a=5.0300 b=5.0300 c=5.0300 alpha=60.00 beta=60.00 gamma=60.00
Closest atoms and distances in Å follow each position.
Fractional coordinates of all 6 atoms:
1 Cu 0.0000 0.0000 0.0000  12 Ru 2.95, 4 Ni 3.08
2 Ni 0.2500 0.2500 0.2500  12 Ru 2.95, 4 Cu 3.08
3 Ru 0.1253 0.6249 0.6249  6 Ru 2.51-2.52
4 Ru 0.6249 0.1253 0.6249  6 Ru 2.51-2.52
5 Ru 0.6249 0.6249 0.1253  6 Ru 2.51-2.52
6 Ru 0.6249 0.6249 0.6249  6 Ru 2.51-2.52

- Crystal system: cubic
- ρ: 9.7 g/cm3
- Calculated formation energy: 770 meV/atom

=====

No. 6
## Mg4CoSb (PBE)

Data for Mg4CoSb after structural relaxation.

Unit cell a=5.6081 b=5.6081 c=5.6081 alpha=60.00 beta=60.00 gamma=60.00
Closest atoms and distances in Å follow each position.
Fractional coordinates of all 6 atoms:
1 Mg 0.3758 0.3758 0.3758  6 Mg 2.79-2.82
2 Mg 0.3758 0.3758 0.8725  6 Mg 2.79-2.82
3 Mg 0.3758 0.8725 0.3758  6 Mg 2.79-2.82
4 Mg 0.8725 0.3758 0.3758  6 Mg 2.79-2.82
5 Co 0.7500 0.7500 0.7500  12 Mg 3.29, 4 Sb 3.43
6 Sb 0.0000 0.0000 0.0000  12 Mg 3.29, 4 Co 3.43

- Formation energy (no corrections): 0.3477 eV/atom
- Crystal system: cubic
- ρ: 3.7 g/cm3

=====

No. 7
## Pr4Te2AsIr (PBE)

Data for Pr4Te2AsIr after structural relaxation.

Unit cell a=7.6083 b=4.3273 c=7.8248 alpha=90.00 beta=108.37 gamma=90.00
Closest atoms and distances in Å follow each position.
Fractional coordinates of all 8 atoms:
1 Pr 0.2294 0.0000 0.2125  2 Ir 2.94, 1 As 3.03, 1 Te 3.25
2 Pr 0.2509 0.5000 0.7827  1 Ir 2.93, 2 As 3.02, 2 Te 3.25
3 Pr 0.7491 0.5000 0.2173  1 Ir 2.93, 2 As 3.02, 2 Te 3.25
4 Pr 0.7706 0.0000 0.7875  2 Ir 2.94, 1 As 3.03, 1 Te 3.25
5 Te 0.0000 0.0000 0.5000  6 Pr 3.25
6 Te 0.5000 0.5000 0.5000  6 Pr 3.33-3.34
7 As 0.5000 0.0000 0.0000  6 Pr 3.02-3.03
8 Ir 0.0000 0.5000 0.0000  6 Pr 2.93-2.94

- Formation energy (no corrections): -1.2459 eV/atom
- Crystal system: monoclinic
- ρ: 7.4 g/cm3

=====

No. 8
## Er3TmAu2 (PBE)

Data for Er3TmAu2 after structural relaxation.

Unit cell a=8.5125 b=8.5125 c=8.5125 alpha=131.73 beta=72.18 gamma=129.82
Closest atoms and distances in Å follow each position.
Fractional coordinates of all 12 atoms:
1 Er 0.0174 0.7500 0.2674  4 Au 2.89-3.00
2 Er 0.2500 0.2500 0.0000  4 Au 3.01
3 Er 0.4826 0.7500 0.7326  4 Au 2.89-3.00
4 Er 0.5174 0.2500 0.2674  4 Au 2.89-3.00
5 Er 0.7500 0.7500 0.0000  4 Au 3.01
6 Er 0.9826 0.2500 0.7326  4 Au 2.89-3.00
7 Tm 0.0000 0.5000 0.5000  2 Au 2.82
8 Tm 0.5000 0.0000 0.5000  2 Au 2.82
9 Au 0.1410 0.2062 0.3472  1 Tm 2.82, 6 Er 2.89-3.01
10 Au 0.3590 0.7062 0.0652  1 Tm 2.82, 6 Er 2.89-3.01
11 Au 0.6410 0.2938 0.9348  1 Tm 2.82, 6 Er 2.89-3.01
12 Au 0.8590 0.7938 0.6528  1 Tm 2.82, 6 Er 2.89-3.01

- E above lowest polymorph: 106 kJ/mol of formula units
- Crystal system: orthorhombic
- ρ: 10.2 g/cm3
- Calculated formation energy: -474 meV/atom

=====

Repeat the fifth record exactly.
## CuNiRu4 (PBE)

Data for CuNiRu4 after structural relaxation.

Unit cell a=5.0300 b=5.0300 c=5.0300 alpha=60.00 beta=60.00 gamma=60.00
Closest atoms and distances in Å follow each position.
Fractional coordinates of all 6 atoms:
1 Cu 0.0000 0.0000 0.0000  12 Ru 2.95, 4 Ni 3.08
2 Ni 0.2500 0.2500 0.2500  12 Ru 2.95, 4 Cu 3.08
3 Ru 0.1253 0.6249 0.6249  6 Ru 2.51-2.52
4 Ru 0.6249 0.1253 0.6249  6 Ru 2.51-2.52
5 Ru 0.6249 0.6249 0.1253  6 Ru 2.51-2.52
6 Ru 0.6249 0.6249 0.6249  6 Ru 2.51-2.52

- Crystal system: cubic
- ρ: 9.7 g/cm3
- Calculated formation energy: 770 meV/atom

=====

> Which value of ρ does entry 1 give?

4.8 g/cm3

=====

What did the first record say?
## NbP2CCl (PBE)

Data for NbP2CCl after structural relaxation.

Unit cell a=4.0153 b=4.0153 c=4.2984 alpha=90.00 beta=90.00 gamma=90.00
Closest atoms and distances in Å follow each position.
Fractional coordinates of all 5 atoms:
1 Nb 0.0000 0.0000 0.0000  4 Cl 2.84, 8 P 2.94
2 P 0.0000 0.5000 0.5000  2 C 2.01
3 P 0.5000 0.0000 0.5000  2 C 2.01
4 C 0.5000 0.5000 0.5000  4 P 2.01, 2 Cl 2.15
5 Cl 0.5000 0.5000 0.0000  2 C 2.15

- E above lowest polymorph: 0 kJ/mol of formula units
- Formation energy (no corrections): 0.9906 eV/atom
- Crystal system: tetragonal
- ρ: 4.8 g/cm3

=====

> Which formula does entry 5 have?

CuNiRu4